VASP calculation (GGA-PBE) on a relaxed LiThBiPb crystal.

Properties
E_tot: -4.467 eV/atom
magnetic moment: 0.000 Bohr magnetons per cell

Lattice parameters (Å, degrees): 5.437 5.437 5.437 60.00 60.00 60.00
Fractional positions:
Pb 0.250 0.250 0.250
Li 0.000 0.000 0.000
Th 0.500 0.500 0.500
Bi 0.750 0.750 0.750

=====

VASP calculation (GGA-PBE) on a relaxed Cs2RbZnGe2 crystal.

Properties
E_tot: -2.225 eV/atom
magnetic moment: 0.000 Bohr magnetons per cell
relative energy among the computed polymorphs: 0.000 eV/atom

Lattice parameters (Å, degrees): 4.254 6.529 9.139 90.00 90.98 90.00
Fractional positions:
Rb 0.834 0.000 0.098
Cs 0.751 0.500 0.383
Cs 0.705 0.000 0.670
Zn 0.755 0.500 0.886
Ge 0.264 0.500 0.036
Ge 0.246 0.500 0.735

=====

VASP calculation (GGA-PBE) on a relaxed PmThZnPt crystal.

Properties
E_tot: -5.481 eV/atom
magnetic moment: 0.000 Bohr magnetons per cell

Lattice parameters (Å, degrees): 5.140 5.140 5.140 60.00 60.00 60.00
Fractional positions:
Th 0.000 0.000 0.000
Zn 0.250 0.250 0.250
Pt 0.750 0.750 0.750
Pm 0.500 0.500 0.500

=====

VASP calculation (GGA-PBE) on a relaxed HfPa3Ge4 crystal.

Properties
E_tot: -7.558 eV/atom
magnetic moment: 0.000 Bohr magnetons per cell

Lattice parameters (Å, degrees): 5.767 5.767 7.044 114.17 114.17 90.01
Fractional positions:
Ge 0.000 0.500 0.000
Ge 0.500 0.000 0.000
Ge 0.244 0.244 0.488
Ge 0.756 0.756 0.512
Pa 0.250 0.750 0.500
Pa 0.750 0.250 0.500
Pa 0.500 0.500 0.000
Hf 0.000 0.000 0.000

=====

VASP calculation (GGA-PBE) on a relaxed KMnSb2 crystal.

Properties
E_tot: -4.519 eV/atom
magnetic moment: 3.448 Bohr magnetons per cell
uncorrected formation energy: 109 meV per atom
relative energy among the computed polymorphs: 0.263 eV/atom

Lattice parameters (Å, degrees): 3.780 3.780 8.368 90.00 90.00 90.00
Last column: magnetic moment on the atom in μB.
Fractional positions:
Sb 0.000 0.000 0.916  -0.14
Sb 0.500 0.500 0.207  -0.04
K 0.000 0.000 0.493  0.00
Mn 0.500 0.500 0.885  3.46

=====

VASP calculation (GGA-PBE) on a relaxed Sn2HgAu2 crystal.

Properties
E_tot: -3.015 eV/atom
magnetic moment: 0.000 Bohr magnetons per cell
relative energy among the computed polymorphs: 0.008 eV/atom

Lattice parameters (Å, degrees): 6.954 6.954 7.551 115.15 115.15 94.62
Fractional positions:
Au 0.607 0.893 0.750
Au 0.143 0.357 0.750
Au 0.393 0.107 0.250
Au 0.857 0.643 0.250
Sn 0.241 0.991 0.482
Sn 0.491 0.741 0.982
Sn 0.759 0.009 0.518
Sn 0.509 0.259 0.018
Hg 0.875 0.625 0.750
Hg 0.125 0.375 0.250

=====

VASP calculation (GGA-PBE) on a relaxed Mg2Si2SbPd5 crystal.

Properties
E_tot: -4.981 eV/atom
magnetic moment: 0.000 Bohr magnetons per cell
uncorrected formation energy: -569 meV per atom

Lattice parameters (Å, degrees): 3.527 9.791 9.791 90.00 90.00 90.00
Fractional positions:
Pd 0.500 0.578 0.711
Pd 0.500 0.211 0.078
Pd 0.500 0.422 0.289
Pd 0.500 0.711 0.422
Pd 0.500 0.789 0.922
Pd 0.500 0.078 0.789
Pd 0.500 0.289 0.578
Pd 0.500 0.500 0.000
Pd 0.500 0.000 0.500
Pd 0.500 0.922 0.211
Mg 0.000 0.828 0.672
Mg 0.000 0.328 0.828
Mg 0.000 0.672 0.172
Mg 0.000 0.172 0.328
Sb 0.000 0.000 0.000
Sb 0.000 0.500 0.500
Si 0.000 0.625 0.875
Si 0.000 0.875 0.375
Si 0.000 0.375 0.125
Si 0.000 0.125 0.625

=====

VASP calculation (GGA-PBE) on a relaxed ZnW3 crystal.

Properties
E_tot: -9.661 eV/atom
magnetic moment: 0.000 Bohr magnetons per cell
relative energy among the computed polymorphs: 0.223 eV/atom

Lattice parameters (Å, degrees): 5.533 8.619 5.301 90.00 90.00 90.00
Fractional positions:
Zn 0.582 0.750 0.858
Zn 0.082 0.750 0.642
Zn 0.418 0.250 0.142
Zn 0.918 0.250 0.358
W 0.769 0.514 0.607
W 0.269 0.514 0.893
W 0.485 0.750 0.349
W 0.731 0.014 0.107
W 0.985 0.750 0.151
W 0.015 0.250 0.849
W 0.515 0.250 0.651
W 0.231 0.486 0.393
W 0.269 0.986 0.893
W 0.231 0.014 0.393
W 0.731 0.486 0.107
W 0.769 0.986 0.607

=====

VASP calculation (GGA-PBE) on a relaxed ZrMn4As crystal.

Properties
E_tot: -8.292 eV/atom
magnetic moment: 4.363 Bohr magnetons per cell

Lattice parameters (Å, degrees): 4.869 4.869 4.869 60.00 60.00 60.00
Last column: magnetic moment on the atom in μB.
Fractional positions:
Mn 0.121 0.626 0.626  1.17
Mn 0.626 0.626 0.121  1.17
Mn 0.626 0.626 0.626  1.17
Mn 0.626 0.121 0.626  1.17
Zr 0.250 0.250 0.250  -0.30
As 0.000 0.000 0.000  -0.01

=====

VASP calculation (GGA-PBE) on a relaxed Cu2Te crystal.

Properties
E_tot: -3.730 eV/atom
magnetic moment: 0.000 Bohr magnetons per cell
uncorrected formation energy: 48 meV per atom

Lattice parameters (Å, degrees): 4.248 4.248 7.617 90.00 90.00 120.00
Fractional positions:
Cu 0.333 0.667 0.089
Cu 0.667 0.333 0.911
Cu 0.333 0.667 0.411
Cu 0.667 0.333 0.589
Te 0.333 0.667 0.750
Te 0.667 0.333 0.250

=====

VASP calculation (GGA-PBE) on a relaxed Ba2Li16Y crystal.

Properties
E_tot: -2.104 eV/atom
magnetic moment: 0.000 Bohr magnetons per cell

Lattice parameters (Å, degrees): 7.940 7.940 7.940 83.23 83.23 83.23
Fractional positions:
Li 0.001 0.290 0.714
Li 0.656 0.149 0.656
Li 0.490 0.003 0.003
Li 0.001 0.714 0.290
Li 0.338 0.860 0.338
Li 0.338 0.338 0.860
Li 0.003 0.490 0.003
Li 0.149 0.656 0.656
Li 0.714 0.001 0.290
Li 0.656 0.656 0.149
Li 0.290 0.001 0.714
Li 0.003 0.003 0.490
Li 0.290 0.714 0.001
Li 0.101 0.101 0.101
Li 0.714 0.290 0.001
Li 0.860 0.338 0.338
Y 0.901 0.901 0.901
Ba 0.346 0.346 0.346
Ba 0.649 0.649 0.649

=====

VASP calculation (GGA-PBE) on a relaxed SmEu2Y crystal.

Properties
E_tot: -7.842 eV/atom
magnetic moment: 15.219 Bohr magnetons per cell
relative energy among the computed polymorphs: 0.000 eV/atom

Lattice parameters (Å, degrees): 3.696 3.696 12.420 81.44 81.44 60.00
Last column: magnetic moment on the atom in μB.
Fractional positions:
Y 0.000 0.000 0.000  0.17
Eu 0.749 0.749 0.752  6.96
Eu 0.251 0.251 0.248  6.96
Sm 0.500 0.500 0.500  0.05